1.
# PmScAs2O8

An optimized crystal structure of PmScAs2O8 (PBE, the Alexandria database).

Lattice parameters (Å, degrees): 5.9418 5.9418 5.9418 106.32 106.32 115.98
Closest atoms and distances in Å follow each position.
Positions (direct):
Pm (0.0000, 0.0000, 0.0000)  8 O 2.35-2.46
Sc (0.2500, 0.7500, 0.5000)  8 O 2.28-2.34
As (0.7500, 0.2500, 0.5000)  4 O 1.72
As (0.5000, 0.5000, 0.0000)  4 O 1.73
O (0.3880, 0.0636, 0.3245)  1 As 1.72
O (0.3268, 0.5147, 0.1879)  1 As 1.73
O (0.3268, 0.1389, 0.8121)  1 As 1.73
O (0.7391, 0.0636, 0.6755)  1 As 1.72
O (0.8611, 0.6732, 0.1879)  1 As 1.73
O (0.9364, 0.2609, 0.3245)  1 As 1.72
O (0.9364, 0.6120, 0.6755)  1 As 1.72
O (0.4853, 0.6732, 0.8121)  1 As 1.73

Summary:
The total energy is -7.253 eV/atom. The space-group type is I-4m2. The calculation puts the uncorrected formation energy at -26.985 eV/f.u. The volume is 13.33 Å³ per atom.



2.
# LaTb4Mg

An optimized crystal structure of LaTb4Mg (PBE, the Alexandria database).

Lattice parameters (Å, degrees): 3.6373 3.6373 14.2628 90.00 90.00 90.00
Closest atoms and distances in Å follow each position.
Positions (direct):
La (0.0000, 0.0000, 0.0000)  4 La 3.64, 8 Tb 3.65
Tb (0.5000, 0.5000, 0.1819)  8 Tb 3.54-3.64, 4 La 3.65
Tb (0.0000, 0.0000, 0.6478)  4 Mg 3.33, 8 Tb 3.54-3.64
Tb (0.0000, 0.0000, 0.3522)  4 Mg 3.33, 8 Tb 3.54-3.64
Tb (0.5000, 0.5000, 0.8181)  8 Tb 3.54-3.64, 4 La 3.65
Mg (0.5000, 0.5000, 0.5000)  8 Tb 3.33, 4 Mg 3.64

Summary:
The total energy is -4.184 eV/atom. The space-group type is P4/mmm. The volume is 31.45 Å³ per atom. As for the formation energy: -0.0099 eV/atom.



3.
# NaTb4ThS8

An optimized crystal structure of NaTb4ThS8 (PBE, the Alexandria database).

Lattice parameters (Å, degrees): 8.1120 8.1120 8.2137 60.41 60.41 60.00
Closest atoms and distances in Å follow each position.
Positions (direct):
Na (0.3721, 0.3721, 0.8836)  4 S 2.71-2.72
Tb (0.6281, 0.6281, 0.1156)  4 S 2.66
Tb (0.0041, 0.4891, 0.5028)  6 S 2.71-2.83
Tb (0.4891, 0.0041, 0.5028)  6 S 2.71-2.83
Tb (0.0041, 0.0041, 0.5028)  6 S 2.71-2.83
Th (0.0032, 0.0032, 0.9905)  6 S 2.75-2.87
S (0.2406, 0.7814, 0.7373)  1 Na 2.72, 2 Tb 2.72, 1 Th 2.75
S (0.7814, 0.2406, 0.7373)  1 Na 2.72, 2 Tb 2.72, 1 Th 2.75
S (0.2406, 0.2406, 0.7373)  1 Na 2.72, 2 Tb 2.72, 1 Th 2.75
S (0.2385, 0.2385, 0.2846)  1 Na 2.71, 3 Tb 2.71
S (0.7556, 0.2277, 0.2612)  3 Tb 2.66-2.83, 1 Th 2.87
S (0.2277, 0.7556, 0.2612)  3 Tb 2.66-2.83, 1 Th 2.87
S (0.7556, 0.7556, 0.2612)  3 Tb 2.66-2.83, 1 Th 2.87
S (0.7593, 0.7593, 0.7220)  4 Tb 2.66-2.83

Summary:
The total energy is -6.202 eV/atom. The space-group type is R3m. The calculation puts the uncorrected formation energy at -26.546 eV/f.u. The volume is 27.47 Å³ per atom.



4.
# CaNiMo2

An optimized crystal structure of CaNiMo2 (PBE, the Alexandria database).

Lattice parameters (Å, degrees): 2.7544 2.7544 8.8846 90.00 90.00 90.00
Closest atoms and distances in Å follow each position.
Positions (direct):
Ni (0.0000, 0.0000, 0.4688)  4 Mo 2.56, 4 Ni 2.75
Mo (0.0000, 0.0000, 0.0252)  8 Mo 2.75-3.00
Mo (0.5000, 0.5000, 0.2815)  4 Ni 2.56, 4 Mo 2.75
Ca (0.5000, 0.5000, 0.7245)  4 Ca 2.75, 4 Ni 2.99

Summary:
The total energy is -6.939 eV/atom. The space-group type is P4mm. The volume is 16.85 Å³ per atom. As for the formation energy: 0.4226 eV/atom.



5.
# InP2Br

An optimized crystal structure of InP2Br (PBE, the Alexandria database).

Lattice parameters (Å, degrees): 4.8545 4.8545 4.8545 60.00 60.00 60.00
Closest atoms and distances in Å follow each position.
Positions (direct):
P (0.2500, 0.2500, 0.2500)  4 In 2.97, 4 Br 2.97
P (0.7500, 0.7500, 0.7500)  4 In 2.97, 4 Br 2.97
Br (0.0000, 0.0000, 0.0000)  8 P 2.97
In (0.5000, 0.5000, 0.5000)  8 P 2.97

Summary:
The total energy is -3.091 eV/atom. The space-group type is Fm-3m. The calculation puts the uncorrected formation energy at 2.867 eV/f.u. The volume is 20.22 Å³ per atom.



6.
# ReBr2N

An optimized crystal structure of ReBr2N (PBE, the Alexandria database).

Lattice parameters (Å, degrees): 4.4213 4.4213 4.4213 60.00 60.00 60.00
Closest atoms and distances in Å follow each position.
Positions (direct):
Re (0.5000, 0.5000, 0.5000)  8 Br 2.71
Br (0.2500, 0.2500, 0.2500)  4 Re 2.71, 4 N 2.71
Br (0.7500, 0.7500, 0.7500)  4 Re 2.71, 4 N 2.71
N (0.0000, 0.0000, 0.0000)  8 Br 2.71

Summary:
The total energy is -4.031 eV/atom. The space-group type is Fm-3m. The calculation puts the uncorrected formation energy at 7.996 eV/f.u. The volume is 15.28 Å³ per atom.



7.
# Rh2C

An optimized crystal structure of Rh2C (PBE, the Alexandria database).

Lattice parameters (Å, degrees): 5.4320 5.4320 8.7516 90.00 90.00 120.00
Closest atoms and distances in Å follow each position.
Positions (direct):
C (0.3333, 0.6667, 0.8782)  3 Rh 1.94
C (0.6667, 0.3333, 0.3782)  3 Rh 1.94
C (0.6667, 0.3333, 0.1218)  3 Rh 1.94
C (0.3333, 0.6667, 0.6218)  3 Rh 1.94
Rh (0.0000, 0.0000, 0.0000)  6 Rh 2.68
Rh (0.0000, 0.0000, 0.5000)  6 Rh 2.68
Rh (0.8353, 0.6706, 0.2500)  2 C 1.94
Rh (0.1647, 0.3294, 0.7500)  2 C 1.94
Rh (0.3294, 0.1647, 0.2500)  2 C 1.94
Rh (0.8353, 0.1647, 0.2500)  2 C 1.94
Rh (0.1647, 0.8353, 0.7500)  2 C 1.94
Rh (0.6706, 0.8353, 0.7500)  2 C 1.94

Summary:
The total energy is -6.551 eV/atom. The space-group type is P6_3/mmc. The volume is 18.64 Å³ per atom. As for the formation energy: 1.4243 eV/atom.



8.
# Li9In4Au11

An optimized crystal structure of Li9In4Au11 (PBE, the Alexandria database).

Lattice parameters (Å, degrees): 3.2192 11.8067 11.8067 109.05 90.00 90.00
Closest atoms and distances in Å follow each position.
Positions (direct):
Li (0.5000, 0.6170, 0.1541)  6 Au 2.71-3.02, 1 In 2.86
Li (0.5000, 0.3830, 0.8459)  6 Au 2.71-3.02, 1 In 2.86
Li (0.5000, 0.1541, 0.6170)  6 Au 2.71-3.02, 1 In 2.86
Li (0.5000, 0.8459, 0.3830)  6 Au 2.71-3.02, 1 In 2.86
Li (0.5000, 0.8019, 0.9900)  8 Au 2.75-2.81, 1 Li 2.85
Li (0.5000, 0.1981, 0.0100)  8 Au 2.75-2.81, 1 Li 2.85
Li (0.5000, 0.9900, 0.8019)  8 Au 2.75-2.81, 1 Li 2.85
Li (0.5000, 0.0100, 0.1981)  8 Au 2.75-2.81, 1 Li 2.85
Li (0.5000, 0.5000, 0.5000)  4 In 2.87, 4 Au 2.89
In (0.5000, 0.5809, 0.7569)  3 Li 2.86-3.11, 6 Au 2.88-2.92
In (0.5000, 0.4191, 0.2431)  3 Li 2.86-3.11, 6 Au 2.88-2.92
In (0.5000, 0.7569, 0.5809)  3 Li 2.86-3.11, 6 Au 2.88-2.92
In (0.5000, 0.2431, 0.4191)  3 Li 2.86-3.11, 6 Au 2.88-2.92
Au (0.0000, 0.6068, 0.9664)  6 Li 2.71-3.02, 2 Au 2.88-2.93, 2 In 2.88
Au (0.0000, 0.3932, 0.0336)  6 Li 2.71-3.02, 2 Au 2.88-2.93, 2 In 2.88
Au (0.0000, 0.9664, 0.6068)  6 Li 2.71-3.02, 2 Au 2.88-2.93, 2 In 2.88
Au (0.0000, 0.0336, 0.3932)  6 Li 2.71-3.02, 2 Au 2.88-2.93, 2 In 2.88
Au (0.0000, 0.6245, 0.3755)  6 Li 2.89-3.05, 4 In 2.90, 2 Au 3.22
Au (0.0000, 0.3755, 0.6245)  6 Li 2.89-3.05, 4 In 2.90, 2 Au 3.22
Au (0.0000, 0.8128, 0.1872)  8 Li 2.74-2.80, 2 Au 2.93
Au (0.0000, 0.1872, 0.8128)  8 Li 2.74-2.80, 2 Au 2.93
Au (0.0000, 0.0000, 0.0000)  2 Au 2.78, 8 Li 2.81
Au (0.0000, 0.7968, 0.7968)  4 Li 2.78, 1 Au 2.78, 4 In 2.92
Au (0.0000, 0.2032, 0.2032)  4 Li 2.78, 1 Au 2.78, 4 In 2.92

Summary:
The total energy is -3.096 eV/atom. The space-group type is Cmmm. The volume is 17.67 Å³ per atom. As for the formation energy: -0.4199 eV/atom.



9.
# TaPbNF2

An optimized crystal structure of TaPbNF2 (PBE, the Alexandria database).

Lattice parameters (Å, degrees): 4.4349 4.4349 4.5859 90.00 90.00 90.00
Closest atoms and distances in Å follow each position.
Positions (direct):
Pb (0.0000, 0.0000, 0.0000)  4 F 2.22, 2 N 2.29
N (0.0000, 0.0000, 0.5000)  2 Pb 2.29
F (0.0000, 0.5000, 0.0000)  2 Pb 2.22
F (0.5000, 0.0000, 0.0000)  2 Pb 2.22
Ta (0.5000, 0.5000, 0.5000)  4 N 3.14, 8 F 3.19

Summary:
The total energy is -5.072 eV/atom. The space-group type is P4/mmm. The calculation puts the uncorrected formation energy at 2.269 eV/f.u. The volume is 18.04 Å³ per atom.



10.
# Cs2KBr

An optimized crystal structure of Cs2KBr (PBE, the Alexandria database).

Lattice parameters (Å, degrees): 7.2464 7.2464 7.2464 60.00 60.00 60.00
Closest atoms and distances in Å follow each position.
Positions (direct):
Cs (0.2500, 0.2500, 0.2500)  4 Br 4.44, 4 K 4.44
Cs (0.7500, 0.7500, 0.7500)  4 K 4.44, 4 Br 4.44
K (0.0000, 0.0000, 0.0000)  8 Cs 4.44
Br (0.5000, 0.5000, 0.5000)  8 Cs 4.44

Summary:
The total energy is -1.710 eV/atom. The space-group type is Fm-3m. The calculation puts the uncorrected formation energy at -2.364 eV/f.u. The volume is 67.27 Å³ per atom.



11.
# PmCoB2Ir

An optimized crystal structure of PmCoB2Ir (PBE, the Alexandria database).

Lattice parameters (Å, degrees): 3.7249 3.7249 5.6406 109.28 109.28 90.00
Closest atoms and distances in Å follow each position.
Positions (direct):
Pm (0.0000, 0.0000, 0.0000)  8 B 3.05, 4 Co 3.11, 4 Ir 3.11
Co (0.2500, 0.7500, 0.5000)  4 B 2.09
B (0.6545, 0.6545, 0.3090)  2 Co 2.09, 2 Ir 2.09
B (0.3455, 0.3455, 0.6910)  2 Ir 2.09, 2 Co 2.09
Ir (0.7500, 0.2500, 0.5000)  4 B 2.09

Summary:
The total energy is -7.405 eV/atom. The space-group type is I-4m2. The volume is 13.84 Å³ per atom. As for the formation energy: -0.5904 eV/atom.



12.
# CaCo2As

An optimized crystal structure of CaCo2As (PBE, the Alexandria database).

Lattice parameters (Å, degrees): 5.2871 5.2871 5.2871 145.58 129.26 62.75
Closest atoms and distances in Å follow each position.
Positions (direct):
As (0.5367, 0.5367, 0.0000)  2 Co 2.41
Co (0.9673, 0.9673, 0.0000)  2 Co 2.58, 4 As 2.82
Co (0.7396, 0.2396, 0.5000)  2 As 2.41, 2 Co 2.58
Ca (0.2565, 0.7565, 0.5000)  8 Co 2.76-3.04, 4 As 2.97-3.01

Summary:
The total energy is -5.102 eV/atom. The space-group type is Imm2. The volume is 15.99 Å³ per atom. As for the formation energy: 0.1136 eV/atom.



13.
# ZrAlTc2

An optimized crystal structure of ZrAlTc2 (PBE, the Alexandria database).

Lattice parameters (Å, degrees): 7.0581 7.0581 5.7210 51.91 51.91 90.00
Closest atoms and distances in Å follow each position.
Positions (direct):
Tc (0.5971, 0.1250, 0.2500)  2 Al 2.46, 2 Zr 2.73
Tc (0.1529, 0.6250, 0.2500)  2 Al 2.46, 2 Zr 2.73
Tc (0.3750, 0.4029, 0.7500)  2 Al 2.46, 2 Zr 2.73
Tc (0.8750, 0.8471, 0.7500)  2 Al 2.46, 2 Zr 2.73
Zr (0.0000, 0.0000, 0.0000)  4 Tc 2.73, 2 Al 2.80
Zr (0.7500, 0.2500, 0.5000)  4 Tc 2.73, 2 Al 2.80
Al (0.5000, 0.5000, 0.0000)  4 Tc 2.46
Al (0.2500, 0.7500, 0.5000)  4 Tc 2.46

Summary:
The total energy is -7.867 eV/atom. The space-group type is I-42d. The volume is 17.42 Å³ per atom. As for the formation energy: 0.3892 eV/atom.



Number 1: density of states at the Fermi level 0.00 states/eV per cell. Number 2: density of states at the Fermi level 8.42 states/eV per cell. Number 3: density of states at the Fermi level 3.57 states/eV per cell. Number 4: density of states at the Fermi level 4.11 states/eV per cell. Number 5: density of states at the Fermi level 2.50 states/eV per cell. Number 6: density of states at the Fermi level 4.08 states/eV per cell. Number 7: density of states at the Fermi level 13.25 states/eV per cell. Number 8: density of states at the Fermi level 6.01 states/eV per cell. Number 9: density of states at the Fermi level 7.19 states/eV per cell. Number 10: density of states at the Fermi level 0.00 states/eV per cell. Number 11: density of states at the Fermi level 1.50 states/eV per cell. Number 12: density of states at the Fermi level 5.40 states/eV per cell. Number 13: density of states at the Fermi level 11.30 states/eV per cell.